Material: LiGaSe2
Method: DFT, PBE
State: optimized geometry

The structure belongs to space group P-4m2 (No. 115); the cell edges are 3.955, 3.955 and 6.080 Å and the angles 90.00°, 90.00° and 90.00°. The asymmetric unit holds Li at (0.000, 0.000, 0.000), Ga at (0.500, 0.500, 0.500) and Se at (0.000, 0.500, 0.260).

Its energy relative to the elements, uncorrected is -3.572 eV per formula unit. As for the total energy: -3.8704 eV/atom. Its density of states at the Fermi level is 0.000 states/eV/atom.



Material: Zn5Cu3Au3
Method: DFT, PBE
State: optimized geometry

The structure belongs to space group P-62m (No. 189); the cell edges are 8.8721, 8.8721 and 2.6828 Å and the angles 90.00°, 90.00° and 120.00°. The asymmetric unit holds Zn at (0.0000, 0.6805, 0.0000), Zn at (0.3333, 0.6667, 0.0000), Cu at (0.0000, 0.1607, 0.0000) and Au at (0.0000, 0.4223, 0.5000).

As for the total energy: -2.5237 eV/atom. The energy of formation is 6.4 kJ/mol of atoms. Its density of states at the Fermi level is 0.391 states/eV/atom.



Material: TbCe2Cd8
Method: DFT, PBE
State: optimized geometry

The structure belongs to space group C2/m (No. 12); the cell edges are 8.453, 15.876 and 5.362 Å and the angles 90.00°, 129.31° and 90.00°. The asymmetric unit holds Tb at (0.000, 0.000, 0.000), Ce at (0.000, 0.309, 0.500), Cd at (0.000, 0.199, 0.000), Cd at (0.005, 0.500, 0.257) and Cd at (0.226, 0.125, 0.728).

As for the total energy: -2.3399 eV/atom. The energy of formation is -16.8 kJ/mol of atoms. Its density of states at the Fermi level is 1.645 states/eV/atom.



Material: Fe2RuPb
Method: DFT, PBE
State: optimized geometry

The structure belongs to space group P4/mmm (No. 123); the cell edges are 3.908, 3.908 and 4.057 Å and the angles 90.00°, 90.00° and 90.00°. The asymmetric unit holds Fe at (0.000, 0.500, 0.000), Ru at (0.000, 0.000, 0.500) and Pb at (0.500, 0.500, 0.500).

As for the total energy: -7.0516 eV/atom. The energy of formation is 41.1 kJ/mol of atoms. Its density of states at the Fermi level is 0.745 states/eV/atom.



Material: Th2Sc2Bi2C
Method: DFT, PBE
State: optimized geometry

The structure belongs to space group I4/mmm (No. 139); the cell edges are 4.635, 4.635 and 16.273 Å and the angles 90.00°, 90.00° and 90.00°. The asymmetric unit holds Th at (0.000, 0.000, 0.159), Sc at (0.000, 0.500, 0.000), Bi at (0.000, 0.000, 0.367) and C at (0.000, 0.000, 0.000).

As for the total energy: -6.9922 eV/atom. The energy of formation is -61.4 kJ/mol of atoms. Its density of states at the Fermi level is 0.997 states/eV/atom.



Material: Cr3ReNi
Method: DFT, PBE
State: optimized geometry

The structure belongs to space group Pm-3m (No. 221); the cell edges are 4.262, 4.262 and 4.262 Å and the angles 90.00°, 90.00° and 90.00°. The asymmetric unit holds Cr at (0.000, 0.000, 0.500), Re at (0.500, 0.500, 0.500) and Ni at (0.000, 0.000, 0.000).

As for the total energy: -7.9532 eV/atom. The energy of formation is 141.5 kJ/mol of atoms. Its density of states at the Fermi level is 1.726 states/eV/atom.



Material: La2RuRhC
Method: DFT, PBE
State: optimized geometry

The structure belongs to space group P4/mmm (No. 123); the cell edges are 5.242, 5.242 and 3.878 Å and the angles 90.00°, 90.00° and 90.00°. The asymmetric unit holds La at (0.000, 0.500, 0.000), Ru at (0.000, 0.000, 0.500), Rh at (0.500, 0.500, 0.500) and C at (0.000, 0.000, 0.000).

As for the total energy: -7.4033 eV/atom. The energy of formation is -25.3 kJ/mol of atoms. Its density of states at the Fermi level is 0.594 states/eV/atom.



Material: LiZr3P
Method: DFT, PBE
State: optimized geometry

The structure belongs to space group Pm-3m (No. 221); the cell edges are 4.931, 4.931 and 4.931 Å and the angles 90.00°, 90.00° and 90.00°. The asymmetric unit holds Li at (0.000, 0.000, 0.000), Zr at (0.000, 0.500, 0.500) and P at (0.500, 0.500, 0.500).

As for the total energy: -6.7465 eV/atom. For the excess energy over the best structure of this formula in the dataset, the calculation gives 0 meV per atom. The energy of formation is -14.7 kJ/mol of atoms. Its density of states at the Fermi level is 0.717 states/eV/atom.



Material: RbLiI2
Method: DFT, PBE
State: optimized geometry

The structure belongs to space group Fm-3m (No. 225); the cell edges are 8.458, 8.458 and 8.458 Å and the angles 90.00°, 90.00° and 90.00°. The asymmetric unit holds Rb at (0.000, 0.000, 0.000), Li at (0.000, 0.000, 0.500) and I at (0.250, 0.250, 0.250).

Its energy relative to the elements, uncorrected is -4.422 eV per formula unit. As for the total energy: -2.6009 eV/atom. Its density of states at the Fermi level is 0.000 states/eV/atom.



Material: CsNpTe3Au
Method: DFT, PBE
State: optimized geometry

The structure belongs to space group P2_1/m (No. 11); the cell edges are 10.125, 4.468 and 11.006 Å and the angles 90.00°, 113.21° and 90.00°. The asymmetric unit holds Cs at (0.220, 0.250, 0.254), Np at (0.316, 0.750, 0.842), Te at (0.118, 0.250, 0.864), Te at (0.224, 0.750, 0.545), Te at (0.469, 0.750, 0.148) and Au at (0.091, 0.250, 0.602).

Its energy relative to the elements, uncorrected is -4.059 eV per formula unit. As for the total energy: -5.0925 eV/atom. Its density of states at the Fermi level is 1.659 states/eV/atom.



Material: YPu2Pd
Method: DFT, PBE
State: optimized geometry

The structure belongs to space group R-3m (No. 166, hexagonal axes); the cell edges are 3.5800, 3.5800 and 29.5989 Å and the angles 90.00°, 90.00° and 120.00°. The asymmetric unit holds Y at (0.0000, 0.0000, 0.0000), Pu at (0.0000, 0.0000, 0.2351) and Pd at (0.0000, 0.0000, 0.5000).

As for the total energy: -10.0443 eV/atom. The energy of formation is 3.5 kJ/mol of atoms. Its density of states at the Fermi level is 4.642 states/eV/atom.



Material: CeErHg
Method: DFT, PBE
State: optimized geometry

The structure belongs to space group P3m1 (No. 156); the cell edges are 5.3151, 5.3151 and 3.0994 Å and the angles 90.00°, 90.00° and 120.00°. The asymmetric unit holds Ce at (0.0000, 0.0000, 0.0000), Er at (0.3333, 0.6667, 0.0079) and Hg at (0.6667, 0.3333, 0.5028).

As for the total energy: -3.5742 eV/atom. For the excess energy over the best structure of this formula in the dataset, the calculation gives 233 meV per atom. The energy of formation is 2.4 kJ/mol of atoms. Its density of states at the Fermi level is 2.157 states/eV/atom.



Material: CdTc2Pb
Method: DFT, PBE
State: optimized geometry

The structure belongs to space group P4/mmm (No. 123); the cell edges are 4.698, 4.698 and 3.281 Å and the angles 90.00°, 90.00° and 90.00°. The asymmetric unit holds Cd at (0.000, 0.000, 0.000), Tc at (0.000, 0.500, 0.500) and Pb at (0.500, 0.500, 0.000).

As for the total energy: -5.5925 eV/atom. For the excess energy over the best structure of this formula in the dataset, the calculation gives 537 meV per atom. The energy of formation is 72.0 kJ/mol of atoms. Its density of states at the Fermi level is 1.114 states/eV/atom.



Material: TlCdSn2Rh
Method: DFT, PBE
State: optimized geometry

The structure belongs to space group P4/mmm (No. 123); the cell edges are 5.106, 5.106 and 5.296 Å and the angles 90.00°, 90.00° and 90.00°. The asymmetric unit holds Tl at (0.000, 0.000, 0.000), Cd at (0.500, 0.500, 0.000), Sn at (0.000, 0.500, 0.500) and Rh at (0.500, 0.500, 0.500).

As for the total energy: -3.7865 eV/atom. The energy of formation is -5.7 kJ/mol of atoms. Its density of states at the Fermi level is 0.654 states/eV/atom.



Material: Zr2MnV
Method: DFT, PBE
State: optimized geometry

The structure belongs to space group I-42d (No. 122); the cell edges are 7.168, 7.168 and 5.681 Å and the angles 90.00°, 90.00° and 90.00°. The asymmetric unit holds Zr at (0.234, 0.750, 0.125), Mn at (0.000, 0.000, 0.000) and V at (0.000, 0.000, 0.500).

As for the total energy: -8.2872 eV/atom. For the excess energy over the best structure of this formula in the dataset, the calculation gives 464 meV per atom. The energy of formation is 53.9 kJ/mol of atoms. Its density of states at the Fermi level is 1.236 states/eV/atom.



Material: LaZnAs2
Method: DFT, PBE
State: optimized geometry

The structure belongs to space group I-42d (No. 122); the cell edges are 7.357, 7.357 and 7.026 Å and the angles 90.00°, 90.00° and 90.00°. The asymmetric unit holds La at (0.000, 0.000, 0.000), Zn at (0.000, 0.000, 0.500) and As at (0.191, 0.250, 0.625).

As for the total energy: -4.5623 eV/atom. The energy of formation is -66.3 kJ/mol of atoms. Its density of states at the Fermi level is 0.489 states/eV/atom.



Material: YZn2C
Method: DFT, PBE
State: optimized geometry

The structure belongs to space group I-42d (No. 122); the cell edges are 6.209, 6.209 and 8.466 Å and the angles 90.00°, 90.00° and 90.00°. The asymmetric unit holds Y at (0.000, 0.000, 0.000), Zn at (0.063, 0.750, 0.625) and C at (0.000, 0.000, 0.500).

As for the total energy: -3.8909 eV/atom. The energy of formation is 64.5 kJ/mol of atoms. Its density of states at the Fermi level is 0.527 states/eV/atom.



Material: BaAcSmTl
Method: DFT, PBE
State: optimized geometry

The structure belongs to space group F-43m (No. 216); the cell edges are 8.473, 8.473 and 8.473 Å and the angles 90.00°, 90.00° and 90.00°. The asymmetric unit holds Ba at (0.000, 0.000, 0.000), Ac at (0.250, 0.250, 0.250), Sm at (0.000, 0.000, 0.500) and Tl at (0.250, 0.250, 0.750).

As for the total energy: -3.1902 eV/atom. The energy of formation is 8.6 kJ/mol of atoms. Its density of states at the Fermi level is 1.420 states/eV/atom.



Material: CaPrNiPd
Method: DFT, PBE
State: optimized geometry

The structure belongs to space group Amm2 (No. 38); the cell edges are 4.248, 3.986 and 11.022 Å and the angles 90.00°, 90.00° and 90.00°. The asymmetric unit holds Ca at (0.000, 0.000, 0.000), Pr at (0.500, 0.000, 0.720), Ni at (0.000, 0.000, 0.283) and Pd at (0.500, 0.000, 0.431).

As for the total energy: -4.9132 eV/atom. For the excess energy over the best structure of this formula in the dataset, the calculation gives 0 meV per atom. The energy of formation is -45.8 kJ/mol of atoms. Its density of states at the Fermi level is 0.641 states/eV/atom.



Material: Ni3Os4
Method: DFT, PBE
State: optimized geometry

The structure belongs to space group P6/mmm (No. 191); the cell edges are 4.5774, 4.5774 and 4.9667 Å and the angles 90.00°, 90.00° and 120.00°. The asymmetric unit holds Ni at (0.0000, 0.5000, 0.0000), Os at (0.0000, 0.0000, 0.2561) and Os at (0.3333, 0.6667, 0.5000).

As for the total energy: -8.6084 eV/atom. The energy of formation is 27.6 kJ/mol of atoms. Its density of states at the Fermi level is 1.223 states/eV/atom.